1.
IrRu2Br: relaxed, GGA-PBEsol.

a = 2.779 Å, b = 4.594 Å, c = 4.643 Å
α = 90.00°, β = 90.00°, γ = 90.00°
Fractional coordinates of all 4 atoms:
Ru 0.000 0.000 0.000
Ru 0.500 0.000 0.500
Ir 0.000 0.500 0.500
Br 0.500 0.500 0.000

* polymorph energy (0 for the lowest one): 369.4 meV per atom
* crystal system: orthorhombic
* magnetization: 0.00 μB per formula unit
* SG: Pmmm, No. 47
* DOS at the Fermi energy: 1.44 states/eV/atom

2.
IrRuBr2: relaxed, GGA-PBEsol.

a = 4.501 Å, b = 4.501 Å, c = 4.501 Å
α = 60.00°, β = 60.00°, γ = 60.00°
Last column: magnetic moment on the atom in μB.
Fractional coordinates of all 4 atoms:
Ru 0.500 0.500 0.500  0.38
Ir 0.000 0.000 0.000  0.20
Br 0.750 0.750 0.750  0.01
Br 0.250 0.250 0.250  0.01

* polymorph energy (0 for the lowest one): 588.6 meV per atom
* crystal system: cubic
* magnetization: 0.61 μB per formula unit
* SG: Fm-3m, No. 225
* DOS at the Fermi energy: 1.37 states/eV/atom

3.
Ir2RuBr: relaxed, GGA-PBEsol.

a = 2.828 Å, b = 3.525 Å, c = 6.411 Å
α = 90.00°, β = 90.00°, γ = 90.00°
Fractional coordinates of all 4 atoms:
Ru 0.000 0.000 0.459
Ir 0.000 0.000 0.046
Ir 0.500 0.500 0.257
Br 0.500 0.500 0.738

* crystal system: orthorhombic
* magnetization: 0.00 μB per formula unit
* SG: Pmm2, No. 25
* DOS at the Fermi energy: 0.93 states/eV/atom

4.
IrRu2Br: relaxed, GGA-PBEsol.

a = 2.824 Å, b = 4.400 Å, c = 5.033 Å
α = 93.74°, β = 106.29°, γ = 90.00°
Fractional coordinates of all 4 atoms:
Ru 0.996 0.008 0.992
Ru 0.279 0.759 0.558
Ir 0.724 0.223 0.449
Br 0.501 0.511 0.002

* polymorph energy (0 for the lowest one): 80.2 meV per atom
* crystal system: monoclinic
* magnetization: 0.00 μB per formula unit
* SG: Cm, No. 8
* DOS at the Fermi energy: 1.04 states/eV/atom

5.
IrRuSeBr2: relaxed, GGA-PBEsol.

a = 4.643 Å, b = 5.094 Å, c = 5.094 Å
α = 90.00°, β = 90.00°, γ = 90.00°
Last column: magnetic moment on the atom in μB.
Fractional coordinates of all 5 atoms:
Ru 0.500 0.500 0.500  2.78
Ir 0.000 0.000 0.000  0.03
Se 0.500 0.000 0.000  0.08
Br 0.000 0.000 0.500  0.07
Br 0.000 0.500 0.000  0.07

* crystal system: tetragonal
* magnetization: 3.42 μB per formula unit
* SG: P4/mmm, No. 123
* DOS at the Fermi energy: 1.16 states/eV/atom

6.
IrS2Br: relaxed, GGA-PBEsol.

a = 3.637 Å, b = 3.637 Å, c = 7.378 Å
α = 75.73°, β = 75.73°, γ = 60.00°
Fractional coordinates of all 4 atoms:
S 0.885 0.885 0.346
S 0.115 0.115 0.654
Ir 0.500 0.500 0.500
Br 0.000 0.000 0.000

* crystal system: trigonal
* magnetization: 0.00 μB per formula unit
* SG: R-3m, No. 166

7.
Sb2IrBr: relaxed, GGA-PBEsol.

a = 3.129 Å, b = 5.120 Å, c = 5.120 Å
α = 90.00°, β = 90.00°, γ = 90.00°
Fractional coordinates of all 4 atoms:
Sb 0.000 0.000 0.500
Sb 0.000 0.500 0.000
Ir 0.500 0.000 0.000
Br 0.500 0.500 0.500

* polymorph energy (0 for the lowest one): 466.7 meV per atom
* crystal system: tetragonal
* magnetization: 0.00 μB per formula unit
* SG: P4/mmm, No. 123
* DOS at the Fermi energy: 0.68 states/eV/atom

8.
Sb2IrBr: relaxed, GGA-PBEsol.

a = 4.828 Å, b = 4.873 Å, c = 4.828 Å
α = 60.31°, β = 90.00°, γ = 119.69°
Fractional coordinates of all 4 atoms:
Br 0.500 0.000 0.500
Ir 0.000 0.000 0.000
Sb 0.250 0.500 0.250
Sb 0.750 0.500 0.750

* polymorph energy (0 for the lowest one): 389.3 meV per atom
* crystal system: tetragonal
* magnetization: 0.00 μB per formula unit
* SG: I4/mmm, No. 139
* DOS at the Fermi energy: 0.53 states/eV/atom

9.
SbIr3Br: relaxed, GGA-PBEsol.

a = 4.863 Å, b = 4.863 Å, c = 4.863 Å
α = 90.00°, β = 90.00°, γ = 90.00°
Last column: magnetic moment on the atom in μB.
Fractional coordinates of all 5 atoms:
Sb 0.000 0.000 0.000  -0.02
Ir 0.000 0.500 0.000  0.54
Ir 0.000 0.000 0.500  0.54
Ir 0.500 0.000 0.000  0.54
Br 0.500 0.500 0.500  0.18

* crystal system: cubic
* magnetization: 1.85 μB per formula unit
* SG: Pm-3m, No. 221
* DOS at the Fermi energy: 1.89 states/eV/atom

10.
SbIrBr3: relaxed, GGA-PBEsol.

a = 5.472 Å, b = 5.472 Å, c = 5.472 Å
α = 90.00°, β = 90.00°, γ = 90.00°
Last column: magnetic moment on the atom in μB.
Fractional coordinates of all 5 atoms:
Sb 0.000 0.000 0.000  0.00
Ir 0.500 0.500 0.500  2.56
Br 0.000 0.500 0.000  0.05
Br 0.000 0.000 0.500  0.05
Br 0.500 0.000 0.000  0.05

* crystal system: cubic
* magnetization: 3.24 μB per formula unit
* SG: Pm-3m, No. 221
* DOS at the Fermi energy: 1.29 states/eV/atom

11.
Sb2IrBr: relaxed, GGA-PBEsol.

a = 3.718 Å, b = 3.182 Å, c = 8.682 Å
α = 79.53°, β = 102.36°, γ = 90.00°
Fractional coordinates of all 4 atoms:
Sb 0.911 0.716 0.822
Sb 0.726 0.399 0.452
Ir 0.294 0.831 0.588
Br 0.569 0.554 0.138

* polymorph energy (0 for the lowest one): 0.0 meV per atom
* crystal system: monoclinic
* magnetization: 0.00 μB per formula unit
* SG: Cm, No. 8
* DOS at the Fermi energy: 0.43 states/eV/atom

12.
Sb2IrBr: relaxed, GGA-PBEsol.

a = 3.220 Å, b = 4.792 Å, c = 5.475 Å
α = 90.00°, β = 90.00°, γ = 90.00°
Fractional coordinates of all 4 atoms:
Sb 0.000 0.000 0.000
Sb 0.500 0.000 0.500
Ir 0.000 0.500 0.500
Br 0.500 0.500 0.000

* polymorph energy (0 for the lowest one): 677.1 meV per atom
* crystal system: orthorhombic
* magnetization: 0.00 μB per formula unit
* SG: Pmmm, No. 47
* DOS at the Fermi energy: 0.82 states/eV/atom

Number 1: raw formation energy 1.017 eV per atom. Number 2: raw formation energy 1.190 eV per atom. Number 3: raw formation energy 0.757 eV per atom. Number 4: raw formation energy 0.727 eV per atom. Number 5: raw formation energy 1.201 eV per atom. Number 6: raw formation energy -0.314 eV per atom. Number 7: raw formation energy 0.438 eV per atom. Number 8: raw formation energy 0.361 eV per atom. Number 9: raw formation energy 2.030 eV per atom. Number 10: raw formation energy 1.144 eV per atom. Number 11: raw formation energy -0.029 eV per atom. Number 12: raw formation energy 0.648 eV per atom.